Here is an optimized crystal structure of U2SeO from Alexandria. Energies are from PBE-GGA.

Results
Total magnetic moment ... 4.91 μB per cell
Space-group type ... R-3m
ΔE_f (raw) ... -1573 meV/atom
Crystal system ... trigonal

Cell: 3.669 3.669 6.751 Å, 74.23 74.23 60.00°
Site moments in Bohr magnetons follow the coordinates.
Element x y z (fractional)
O1 0.000 0.000 0.000  -0.07
Se1 0.500 0.500 0.500  -0.05
U1 0.268 0.268 0.197  2.27
U2 0.732 0.732 0.803  2.27